UGePt2 | PBE | optimized geometry

a b c (Å): 3.2705 3.2705 6.8936
angles (deg): 90.00 90.00 90.00
Sites, in units of the cell vectors:
1 Ge 0.5000 0.5000 0.0000
2 U 0.5000 0.5000 0.5000
3 Pt 0.0000 0.0000 0.7722
4 Pt 0.0000 0.0000 0.2278

Computed properties:
N(E_F) in states/eV/cell: 4.43
DFT formation energy in kJ/mol of atoms: -41
Volume in Å³ per atom: 18.4